Computed, not measured: crystalline FeTcCl2 at its relaxed geometry at the GGA-PBE level of DFT.

```
FeTcCl2
1.0
2.931 0.000 0.000
0.000 2.931 0.000
0.000 0.000 8.360
Fe Tc Cl
1 1 2
Direct
0.000 0.000 0.000
0.500 0.500 0.190
0.000 0.000 0.387
0.500 0.500 0.822
```

Summary:
Calculated volume   72 Å³/cell
Size of the total moment   0.2863 μB/atom
E_form (uncorrected)   58 meV per atom



Computed, not measured: crystalline AlGe at its relaxed geometry at the GGA-PBE level of DFT.

```
AlGe
1.0
-5.811 5.811 1.482
5.811 -5.811 1.482
5.811 5.811 -1.482
Al Ge
4 4
Direct
0.115 0.270 0.384
0.270 0.885 0.155
0.730 0.115 0.845
0.885 0.730 0.616
0.099 0.748 0.847
0.252 0.099 0.352
0.748 0.901 0.648
0.901 0.252 0.153
```

Summary:
Calculated volume   200 Å³/cell
Size of the total moment   0.0000 μB/atom
ΔE_f   0.17 eV/atom



Computed, not measured: crystalline Mn2AlFe at its relaxed geometry at the GGA-PBE level of DFT.

```
Mn2AlFe
1.0
1.287 0.743 8.204
-1.287 0.743 8.204
0.000 -1.486 8.204
Mn Al Fe
2 1 1
Direct
0.247 0.247 0.247
0.753 0.753 0.753
0.000 0.000 0.000
0.500 0.500 0.500
```

Summary:
Calculated volume   47 Å³/cell
Size of the total moment   0.0398 μB/atom
ΔE_f   0.06 eV/atom



Computed, not measured: crystalline KTl2Os at its relaxed geometry at the GGA-PBE level of DFT.

```
KTl2Os
1.0
3.255 0.000 0.000
0.000 3.255 0.000
0.000 0.000 9.219
K Tl Os
1 2 1
Direct
0.000 0.000 0.000
0.500 0.500 0.300
0.500 0.500 0.700
0.000 0.000 0.500
```

Summary:
Calculated volume   98 Å³/cell
Size of the total moment   0.0000 μB/atom
ΔE_f   0.60 eV/atom



Computed, not measured: crystalline Cs2TcO4 at its relaxed geometry at the GGA-PBE level of DFT.

```
Cs2TcO4
1.0
6.867 0.000 0.000
0.000 6.510 0.000
-2.009 0.000 8.763
Cs Tc O
4 2 8
Direct
0.216 0.250 0.018
0.264 0.250 0.522
0.736 0.750 0.478
0.784 0.750 0.982
0.234 0.750 0.778
0.766 0.250 0.222
0.078 0.528 0.728
0.078 0.972 0.728
0.334 0.750 0.980
0.435 0.750 0.679
0.565 0.250 0.321
0.666 0.250 0.020
0.922 0.028 0.272
0.922 0.472 0.272
```

Summary:
Calculated volume   392 Å³/cell
Size of the total moment   0.1431 μB/atom
E_form (uncorrected)   -1665 meV per atom



Computed, not measured: crystalline Sc2Fe5CoB2 at its relaxed geometry at the GGA-PBE level of DFT.

```
Sc2Fe5CoB2
1.0
8.689 0.000 0.000
0.000 8.689 0.000
0.000 0.000 3.030
Sc Fe Co B
4 10 2 4
Direct
0.174 0.326 0.000
0.326 0.826 0.000
0.674 0.174 0.000
0.826 0.674 0.000
0.000 0.500 0.500
0.067 0.786 0.500
0.214 0.067 0.500
0.286 0.567 0.500
0.433 0.286 0.500
0.500 0.000 0.500
0.567 0.714 0.500
0.714 0.433 0.500
0.786 0.933 0.500
0.933 0.214 0.500
0.000 0.000 0.000
0.500 0.500 0.000
0.122 0.622 0.000
0.378 0.122 0.000
0.622 0.878 0.000
0.878 0.378 0.000
```

Summary:
Calculated volume   229 Å³/cell
Size of the total moment   0.8818 μB/atom
ΔE_f   -0.29 eV/atom



Computed, not measured: crystalline UFe10Mo2 at its relaxed geometry at the GGA-PBE level of DFT.

```
UFe10Mo2
1.0
-2.326 4.261 4.282
2.326 -4.261 4.282
2.326 4.261 -4.282
U Fe Mo
1 10 2
Direct
0.000 0.000 0.000
0.000 0.000 0.500
0.000 0.500 0.000
0.215 0.500 0.715
0.222 0.722 0.500
0.354 0.000 0.354
0.500 0.000 0.000
0.500 0.500 0.500
0.646 0.000 0.646
0.778 0.278 0.500
0.785 0.500 0.285
0.356 0.356 0.000
0.644 0.644 0.000
```

Summary:
Calculated volume   170 Å³/cell
Size of the total moment   1.2025 μB/atom
ΔE_f   0.02 eV/atom



Computed, not measured: crystalline KPb2I at its relaxed geometry at the GGA-PBE level of DFT.

```
KPb2I
1.0
0.000 4.171 4.171
4.171 0.000 4.171
4.171 4.171 0.000
K Pb I
1 2 1
Direct
0.000 0.000 0.000
0.250 0.250 0.250
0.750 0.750 0.750
0.500 0.500 0.500
```

Summary:
Calculated volume   145 Å³/cell
Size of the total moment   0.0000 μB/atom
E_form (uncorrected)   124 meV per atom



Computed, not measured: crystalline LiPSe2 at its relaxed geometry at the GGA-PBE level of DFT.

```
LiPSe2
1.0
1.610 0.929 9.027
-1.610 0.929 9.027
0.000 -1.859 9.027
Li P Se
1 1 2
Direct
0.000 0.000 0.000
0.744 0.744 0.744
0.265 0.265 0.265
0.469 0.469 0.469
```

Summary:
Calculated volume   81 Å³/cell
Size of the total moment   0.0000 μB/atom
E_form (uncorrected)   5 meV per atom



Computed, not measured: crystalline ZrIrCl at its relaxed geometry at the GGA-PBE level of DFT.

```
ZrIrCl
1.0
0.000 3.177 3.177
3.177 0.000 3.177
3.177 3.177 0.000
Zr Ir Cl
1 1 1
Direct
0.000 0.000 0.000
0.750 0.750 0.750
0.500 0.500 0.500
```

Summary:
Calculated volume   64 Å³/cell
Size of the total moment   0.0000 μB/atom
E_form (uncorrected)   -96 meV per atom



Computed, not measured: crystalline PmPr2Sm5Y at its relaxed geometry at the GGA-PBE level of DFT.

```
PmPr2Sm5Y
1.0
-4.396 4.396 8.061
4.396 -4.396 8.061
4.396 4.396 -8.061
Pm Pr Sm Y
2 4 10 2
Direct
0.250 0.250 0.000
0.750 0.750 0.000
0.119 0.619 0.738
0.381 0.119 0.500
0.619 0.881 0.500
0.881 0.381 0.262
0.000 0.000 0.000
0.073 0.146 0.500
0.146 0.646 0.073
0.354 0.427 0.500
0.427 0.927 0.073
0.500 0.500 0.000
0.573 0.073 0.927
0.646 0.573 0.500
0.854 0.354 0.927
0.927 0.854 0.500
0.250 0.750 0.500
0.750 0.250 0.500
```

Summary:
Calculated volume   623 Å³/cell
Size of the total moment   0.0000 μB/atom
ΔE_f   0.26 eV/atom



Computed, not measured: crystalline Zr2NiHg at its relaxed geometry at the GGA-PBE level of DFT.

```
Zr2NiHg
1.0
0.000 3.369 3.369
3.369 0.000 3.369
3.369 3.369 0.000
Zr Ni Hg
2 1 1
Direct
0.000 0.000 0.000
0.250 0.250 0.250
0.500 0.500 0.500
0.750 0.750 0.750
```

Summary:
Calculated volume   76 Å³/cell
Size of the total moment   0.5037 μB/atom
ΔE_f   0.12 eV/atom



Computed, not measured: crystalline Zr2NbIr2 at its relaxed geometry at the GGA-PBE level of DFT.

```
Zr2NbIr2
1.0
6.743 0.000 0.000
0.000 6.743 0.000
0.000 0.000 4.253
Zr Nb Ir
4 2 4
Direct
0.175 0.325 0.000
0.325 0.825 0.000
0.675 0.175 0.000
0.825 0.675 0.000
0.000 0.000 0.500
0.500 0.500 0.500
0.138 0.638 0.500
0.362 0.138 0.500
0.638 0.862 0.500
0.862 0.362 0.500
```

Summary:
Calculated volume   193 Å³/cell
Size of the total moment   0.0000 μB/atom
ΔE_f   -0.55 eV/atom



Computed, not measured: crystalline LaNiMo2 at its relaxed geometry at the GGA-PBE level of DFT.

```
LaNiMo2
1.0
-1.697 2.538 4.374
1.697 -2.538 4.374
1.697 2.538 -4.374
La Ni Mo
1 1 2
Direct
0.000 0.000 0.000
0.729 0.229 0.500
0.282 0.782 0.500
0.494 0.494 0.000
```

Summary:
Calculated volume   75 Å³/cell
Size of the total moment   0.0000 μB/atom
ΔE_f   0.51 eV/atom



Computed, not measured: crystalline Li2Ca3Cu9 at its relaxed geometry at the GGA-PBE level of DFT.

```
Li2Ca3Cu9
1.0
-2.143 4.383 6.285
2.143 -4.383 6.285
2.143 4.383 -6.285
Li Ca Cu
2 3 9
Direct
0.201 0.000 0.201
0.799 0.000 0.799
0.204 0.204 0.000
0.500 0.500 0.000
0.796 0.796 0.000
0.000 0.500 0.500
0.091 0.374 0.717
0.178 0.826 0.352
0.343 0.626 0.717
0.474 0.826 0.648
0.526 0.174 0.352
0.657 0.374 0.283
0.822 0.174 0.648
0.909 0.626 0.283
```

Summary:
Calculated volume   236 Å³/cell
Size of the total moment   0.0000 μB/atom
ΔE_f   -0.07 eV/atom



Computed, not measured: crystalline SrAcGaRh at its relaxed geometry at the GGA-PBE level of DFT.

```
SrAcGaRh
1.0
3.806 -2.201 0.000
3.806 2.201 0.000
-2.554 0.000 7.988
Sr Ac Ga Rh
1 1 1 1
Direct
0.000 0.000 0.000
0.829 0.829 0.489
0.582 0.582 0.747
0.236 0.236 0.710
```

Summary:
Calculated volume   134 Å³/cell
Size of the total moment   0.0000 μB/atom
ΔE_f   -0.53 eV/atom



Computed, not measured: crystalline LiErThCo at its relaxed geometry at the GGA-PBE level of DFT.

```
LiErThCo
1.0
0.000 3.481 3.481
3.481 0.000 3.481
3.481 3.481 0.000
Li Er Th Co
1 1 1 1
Direct
0.000 0.000 0.000
0.750 0.750 0.750
0.250 0.250 0.250
0.500 0.500 0.500
```

Summary:
Calculated volume   84 Å³/cell
Size of the total moment   0.0197 μB/atom
ΔE_f   -0.01 eV/atom



Computed, not measured: crystalline Fe2WBr at its relaxed geometry at the GGA-PBE level of DFT.

```
Fe2WBr
1.0
1.484 0.857 8.117
-1.484 0.857 8.117
0.000 -1.714 8.117
Fe W Br
2 1 1
Direct
0.000 0.000 0.000
0.260 0.260 0.260
0.748 0.748 0.748
0.503 0.503 0.503
```

Summary:
Calculated volume   62 Å³/cell
Size of the total moment   1.2166 μB/atom
E_form (uncorrected)   643 meV per atom



Computed, not measured: crystalline Th2Ga3Si at its relaxed geometry at the GGA-PBE level of DFT.

```
Th2Ga3Si
1.0
4.228 0.000 0.000
0.000 4.255 0.000
0.000 0.000 7.319
Th Ga Si
2 3 1
Direct
0.000 0.000 0.000
0.000 0.500 0.488
0.500 0.000 0.658
0.500 0.500 0.163
0.500 0.500 0.827
0.500 0.000 0.325
```

Summary:
Calculated volume   132 Å³/cell
Size of the total moment   0.0000 μB/atom
E_form (uncorrected)   -606 meV per atom



Computed, not measured: crystalline Ac3Ce2PaAs6 at its relaxed geometry at the GGA-PBE level of DFT.

```
Ac3Ce2PaAs6
1.0
3.762 -6.515 0.000
3.762 6.515 0.000
-2.507 0.000 7.157
Ac Ce Pa As
3 2 1 6
Direct
0.000 0.000 0.000
0.331 0.669 0.000
0.669 0.331 0.000
0.166 0.834 0.500
0.834 0.166 0.500
0.500 0.500 0.500
0.101 0.425 0.276
0.252 0.252 0.726
0.425 0.101 0.276
0.575 0.899 0.724
0.748 0.748 0.274
0.899 0.575 0.724
```

Summary:
Calculated volume   351 Å³/cell
Size of the total moment   0.1555 μB/atom
ΔE_f   -1.37 eV/atom



Computed, not measured: crystalline CaLaCu2O at its relaxed geometry at the GGA-PBE level of DFT.

```
CaLaCu2O
1.0
5.005 0.000 0.000
0.000 5.005 0.000
0.000 0.000 7.438
Ca La Cu O
1 1 2 1
Direct
0.000 0.000 0.000
0.000 0.000 0.500
0.000 0.500 0.500
0.500 0.000 0.500
0.500 0.500 0.000
```

Summary:
Calculated volume   186 Å³/cell
Size of the total moment   0.1980 μB/atom
E_form (uncorrected)   1182 meV per atom



Computed, not measured: crystalline Be2MoAu at its relaxed geometry at the GGA-PBE level of DFT.

```
Be2MoAu
1.0
3.357 0.000 0.000
0.000 1.662 4.389
0.000 -1.662 4.389
Be Mo Au
2 1 1
Direct
0.000 0.000 0.000
0.500 0.155 0.155
0.000 0.715 0.715
0.500 0.431 0.431
```

Summary:
Calculated volume   49 Å³/cell
Size of the total moment   0.0000 μB/atom
ΔE_f   0.01 eV/atom



Computed, not measured: crystalline ZrMnCr at its relaxed geometry at the GGA-PBE level of DFT.

```
ZrMnCr
1.0
-1.467 1.467 5.235
1.467 -1.467 5.235
1.467 1.467 -5.235
Zr Mn Cr
1 1 1
Direct
0.000 0.000 0.000
0.695 0.695 0.000
0.305 0.305 0.000
```

Summary:
Calculated volume   45 Å³/cell
Size of the total moment   0.0974 μB/atom
ΔE_f   0.09 eV/atom



Computed, not measured: crystalline ThUPd at its relaxed geometry at the GGA-PBE level of DFT.

```
ThUPd
1.0
5.413 -1.808 0.000
5.413 1.808 0.000
-4.618 0.000 7.460
Th U Pd
2 2 2
Direct
0.065 0.065 0.321
0.935 0.935 0.679
0.313 0.313 0.964
0.687 0.687 0.036
0.349 0.349 0.356
0.651 0.651 0.644
```

Summary:
Calculated volume   146 Å³/cell
Size of the total moment   0.1292 μB/atom
ΔE_f   -0.28 eV/atom



Computed, not measured: crystalline PuTePd2 at its relaxed geometry at the GGA-PBE level of DFT.

```
PuTePd2
1.0
4.382 0.000 0.000
0.000 4.382 0.000
0.000 0.000 4.362
Pu Te Pd
1 1 2
Direct
0.000 0.000 0.000
0.500 0.500 0.000
0.000 0.500 0.500
0.500 0.000 0.500
```

Summary:
Calculated volume   84 Å³/cell
Size of the total moment   1.3751 μB/atom
E_form (uncorrected)   -449 meV per atom